1.
# Pa2VS

An optimized crystal structure of Pa2VS (PBE-GGA, Alexandria).

a b c (Å): 3.4621 3.4621 8.5499
angles (deg): 78.32 78.32 60.00
Last column: nearest neighbours and their distance in Å.
Fractional coordinates of all 4 atoms:
Pa: 0.2578 0.2578 0.2265  3 S 2.75, 3 V 3.03
Pa: 0.7422 0.7422 0.7735  3 S 2.75, 3 V 3.03
V: 0.5000 0.5000 0.5000  6 Pa 3.03
S: 0.0000 0.0000 0.0000  6 Pa 2.75

Results
density of states at the Fermi level: 5.5 states/eV/cell
electronic total energy: -8.334 eV/atom
mass density: 10.49 g cm⁻³
energy relative to the elements, uncorrected: -275 meV/atom

2.
# Zr2TiAu2

An optimized crystal structure of Zr2TiAu2 (PBE-GGA, Alexandria).

a b c (Å): 3.7835 3.7835 8.0894
angles (deg): 76.48 76.48 90.00
Last column: nearest neighbours and their distance in Å.
Fractional coordinates of all 5 atoms:
Au: 0.2500 0.7500 0.5000  4 Au 2.68, 4 Zr 2.98
Zr: 0.5989 0.5989 0.8022  4 Au 2.98, 1 Zr 3.02, 4 Ti 3.07
Ti: 0.0000 0.0000 0.0000  8 Zr 3.07
Au: 0.7500 0.2500 0.5000  4 Au 2.68, 4 Zr 2.98
Zr: 0.4011 0.4011 0.1978  4 Au 2.98, 1 Zr 3.02, 4 Ti 3.07

Results
offset from the most stable computed form: 431.8 meV/atom
density of states at the Fermi level: 6.0 states/eV/cell
electronic total energy: -6.178 eV/atom
formation energy: 0.131 eV per atom
mass density: 9.49 g cm⁻³

3.
# SbMoI2Cl

An optimized crystal structure of SbMoI2Cl (PBE-GGA, Alexandria).

a b c (Å): 5.3956 5.3956 5.3299
angles (deg): 90.00 90.00 90.00
Last column: nearest neighbours and their distance in Å.
Fractional coordinates of all 5 atoms:
Cl: 0.5000 0.5000 0.5000  8 I 3.79, 4 Sb 3.82
Mo: 0.0000 0.0000 0.0000  2 Sb 2.66, 4 I 2.70
Sb: 0.0000 0.0000 0.5000  2 Mo 2.66
I: 0.5000 0.0000 0.0000  2 Mo 2.70
I: 0.0000 0.5000 0.0000  2 Mo 2.70

Results
offset from the most stable computed form: 0.0 meV/atom
density of states at the Fermi level: 5.5 states/eV/cell
electronic total energy: -3.670 eV/atom
mass density: 5.43 g cm⁻³
energy relative to the elements, uncorrected: 310 meV/atom

4.
# KTaSb2

An optimized crystal structure of KTaSb2 (PBE-GGA, Alexandria).

a b c (Å): 7.6395 5.7318 3.1483
angles (deg): 79.89 81.44 128.72
Last column: nearest neighbours and their distance in Å.
Fractional coordinates of all 4 atoms:
Ta: 0.0000 0.5000 0.5000  4 Sb 3.02, 2 Ta 3.15
Sb: 0.5000 0.0000 0.5000  2 Ta 3.02, 2 K 3.02, 2 Sb 3.15
K: 0.5000 0.5000 0.0000  4 Sb 3.02, 2 K 3.15
Sb: 0.0000 0.0000 0.0000  2 K 3.02, 2 Ta 3.02, 2 Sb 3.15

Results
offset from the most stable computed form: 532.9 meV/atom
density of states at the Fermi level: 2.6 states/eV/cell
electronic total energy: -4.864 eV/atom
mass density: 7.72 g cm⁻³
energy relative to the elements, uncorrected: 435 meV/atom

5.
# Ni2BRu2

An optimized crystal structure of Ni2BRu2 (PBE-GGA, Alexandria).

a b c (Å): 3.3479 3.3479 6.5970
angles (deg): 75.30 75.30 90.00
Last column: nearest neighbours and their distance in Å.
Fractional coordinates of all 5 atoms:
B: 0.0000 0.0000 0.0000  8 Ni 2.62
Ni: 0.5910 0.5910 0.8179  1 Ni 2.24
Ru: 0.2500 0.7500 0.5000  4 Ru 2.37, 4 Ni 2.58
Ru: 0.7500 0.2500 0.5000  4 Ru 2.37, 4 Ni 2.58
Ni: 0.4090 0.4090 0.1821  1 Ni 2.24

Results
offset from the most stable computed form: 941.6 meV/atom
density of states at the Fermi level: 5.7 states/eV/cell
electronic total energy: -6.203 eV/atom
formation energy: 1.155 eV per atom
mass density: 7.95 g cm⁻³

6.
# Ca2Bi2O5

An optimized crystal structure of Ca2Bi2O5 (PBE-GGA, Alexandria).

a b c (Å): 10.2335 10.2721 10.6577
angles (deg): 107.26 116.90 93.81
Last column: nearest neighbours and their distance in Å.
Fractional coordinates of all 54 atoms:
O: 0.1735 0.0966 0.5670  1 Bi 2.13
O: 0.9426 0.1400 0.7262  1 Bi 2.10, 1 Ca 2.30
Bi: 0.7523 0.6647 0.8220  3 O 2.10-2.29
O: 0.8944 0.3214 0.0683  1 Bi 2.13, 1 Ca 2.37
O: 0.1696 0.4127 0.0013  1 Bi 2.10
O: 0.3089 0.1632 0.0352  2 Bi 2.24-2.29, 2 Ca 2.34-2.39
O: 0.6380 0.2683 0.7385  1 Bi 2.17, 2 Ca 2.30-2.32
Ca: 0.4790 0.0579 0.6620  5 O 2.30-2.41
O: 0.0574 0.8600 0.2738  1 Bi 2.10, 1 Ca 2.30
Bi: 0.2062 0.9425 0.9872  3 O 2.10-2.24
O: 0.1665 0.8918 0.7650  1 Bi 2.10, 1 Ca 2.33
Ca: 0.8985 0.3403 0.8541  5 O 2.30-2.41
Bi: 0.0235 0.5737 0.6964  4 O 2.13-2.34
O: 0.9285 0.6321 0.3477  2 Bi 2.17-2.38, 1 Ca 2.36
Bi: 0.2477 0.3353 0.1780  3 O 2.10-2.29
Bi: 0.6921 0.5745 0.3345  3 O 2.08-2.31
Ca: 0.7976 0.7823 0.1829  5 O 2.29-2.52
O: 0.1914 0.5382 0.3172  3 Bi 2.28-2.44, 1 Ca 2.39
O: 0.8335 0.1082 0.2350  1 Bi 2.10, 1 Ca 2.33
O: 0.3463 0.8307 0.5941  1 Bi 2.16, 3 Ca 2.26-2.35
O: 0.6911 0.8368 0.9648  2 Bi 2.24-2.29, 2 Ca 2.34-2.39
O: 0.6183 0.9200 0.5772  1 Bi 2.13, 2 Ca 2.35-2.37
O: 0.7184 0.3803 0.2174  2 Bi 2.12-2.33, 1 Ca 2.32
O: 0.8086 0.4618 0.6828  3 Bi 2.28-2.44, 1 Ca 2.39
O: 0.3817 0.0800 0.4228  1 Bi 2.13, 2 Ca 2.35-2.37
Ca: 0.8948 0.1522 0.4847  5 O 2.26-2.44
O: 0.4284 0.9153 0.0778  1 Bi 2.11
Bi: 0.7938 0.0575 0.0128  3 O 2.10-2.24
Ca: 0.5717 0.1663 0.1601  6 O 2.32-2.59
O: 0.1056 0.6786 0.9317  1 Bi 2.13, 1 Ca 2.37
Bi: 0.8498 0.9244 0.6476  3 O 2.10-2.13
O: 0.4772 0.4449 0.2994  2 Bi 2.12-2.31
O: 0.5716 0.0847 0.9222  1 Bi 2.11
O: 0.6537 0.1693 0.4059  1 Bi 2.16, 3 Ca 2.26-2.35
O: 0.8265 0.9034 0.4330  1 Bi 2.13
O: 0.3979 0.3799 0.8616  1 Bi 2.08, 2 Ca 2.29
O: 0.5228 0.5551 0.7006  2 Bi 2.12-2.31
Ca: 0.3464 0.5947 0.0239  5 O 2.29-2.52
O: 0.3620 0.7317 0.2615  1 Bi 2.17, 2 Ca 2.30-2.32
Ca: 0.1052 0.8478 0.5153  5 O 2.26-2.44
O: 0.6021 0.6201 0.1384  1 Bi 2.08, 2 Ca 2.29
Bi: 0.9765 0.4263 0.3036  4 O 2.13-2.34
Ca: 0.2024 0.2177 0.8171  5 O 2.29-2.52
O: 0.0715 0.3679 0.6523  2 Bi 2.17-2.38, 1 Ca 2.36
O: 0.8304 0.5873 0.9987  1 Bi 2.10
O: 0.2816 0.6197 0.7826  2 Bi 2.12-2.33, 1 Ca 2.32
Bi: 0.1502 0.0756 0.3524  3 O 2.10-2.13
Ca: 0.5210 0.9421 0.3380  5 O 2.30-2.41
Ca: 0.6536 0.4053 0.9761  5 O 2.29-2.52
Bi: 0.5754 0.3127 0.5348  3 O 2.16-2.28
Bi: 0.3079 0.4255 0.6655  3 O 2.08-2.31
Ca: 0.1015 0.6597 0.1459  5 O 2.30-2.41
Bi: 0.4246 0.6873 0.4652  3 O 2.16-2.28
Ca: 0.4283 0.8337 0.8399  6 O 2.32-2.59

Results
offset from the most stable computed form: 0.0 meV/atom
density of states at the Fermi level: 0.0 states/eV/cell
electronic total energy: -6.067 eV/atom
mass density: 6.21 g cm⁻³
energy relative to the elements, uncorrected: -2006 meV/atom

Q: Look up the electronic total energy of the sixth one.
A: -6.067 eV/atom